1.
Material: TlAsBr2
Method: DFT, meta-GGA SCAN
State: single point on PBEsol structure

Total moment ... 0.0000 μB per atom
Formation energy from raw total energies ... -74 meV/atom

abc: 3.702 3.702 8.321
angles: 90.00 90.00 90.00
Sites, in units of the cell vectors:
Tl: 0.000 0.000 0.480
As: 0.500 0.500 0.821
Br: 0.000 0.000 0.916
Br: 0.500 0.500 0.283

2.
Material: YZrAu2
Method: DFT, meta-GGA SCAN
State: single point on PBEsol structure

Total moment ... 0.0000 μB per atom
Formation enthalpy at 0 K ... -0.703 eV per atom

abc: 3.559 4.582 5.840
angles: 113.10 107.74 90.00
Sites, in units of the cell vectors:
Au: 0.006 0.006 0.012
Au: 0.729 0.229 0.458
Y: 0.496 0.496 0.993
Zr: 0.269 0.769 0.537

3.
Material: InNiAu2
Method: DFT, meta-GGA SCAN
State: single point on PBEsol structure

Total moment ... 0.0000 μB per atom
Formation enthalpy at 0 K ... -0.025 eV per atom

abc: 4.504 4.504 4.504
angles: 60.00 60.00 60.00
Sites, in units of the cell vectors:
Ni: 0.250 0.250 0.250
Au: 0.000 0.000 0.000
Au: 0.750 0.750 0.750
In: 0.500 0.500 0.500

4.
Material: CeTl
Method: DFT, meta-GGA SCAN
State: single point on PBEsol structure

Total moment ... 0.4813 μB per atom
Formation enthalpy at 0 K ... -0.322 eV per atom

abc: 3.811 3.811 3.811
angles: 90.00 90.00 90.00
Site moments in Bohr magnetons follow the coordinates.
Sites, in units of the cell vectors:
Tl: 0.000 0.000 0.000  -0.04
Ce: 0.500 0.500 0.500  0.90

5.
Material: Zn2CdAu
Method: DFT, meta-GGA SCAN
State: single point on PBEsol structure

Total moment ... 0.0000 μB per atom
Formation enthalpy at 0 K ... -0.099 eV per atom

abc: 3.992 3.992 4.932
angles: 113.87 113.87 90.00
Sites, in units of the cell vectors:
Zn: 0.000 0.000 0.000
Zn: 0.750 0.250 0.500
Au: 0.500 0.500 0.000
Cd: 0.250 0.750 0.500

6.
Material: ZnCd
Method: DFT, meta-GGA SCAN
State: single point on PBEsol structure

Total moment ... 0.0000 μB per atom
Formation enthalpy at 0 K ... 0.219 eV per atom

abc: 3.953 3.953 5.937
angles: 90.00 90.00 120.00
Sites, in units of the cell vectors:
Cd: 0.000 0.000 0.000
Cd: 0.000 0.000 0.500
Zn: 0.667 0.333 0.750
Zn: 0.333 0.667 0.250

7.
Material: Hg2IrSe
Method: DFT, meta-GGA SCAN
State: single point on PBEsol structure

Total moment ... 0.0000 μB per atom
Formation energy from raw total energies ... 188 meV/atom

abc: 2.947 4.701 6.608
angles: 110.83 102.88 90.00
Sites, in units of the cell vectors:
Hg: 0.989 0.989 0.978
Hg: 0.813 0.313 0.626
Ir: 0.518 0.518 0.036
Se: 0.180 0.680 0.360

8.
Material: SbMoPd2Se
Method: DFT, meta-GGA SCAN
State: single point on PBEsol structure

Total moment ... 0.0000 μB per atom
Formation energy from raw total energies ... 733 meV/atom

abc: 4.621 4.863 4.863
angles: 90.00 90.00 90.00
Sites, in units of the cell vectors:
Sb: 0.500 0.500 0.500
Mo: 0.000 0.000 0.000
Se: 0.500 0.000 0.000
Pd: 0.000 0.000 0.500
Pd: 0.000 0.500 0.000

9.
Material: MgAl2P
Method: DFT, meta-GGA SCAN
State: single point on PBEsol structure

Total moment ... 0.0000 μB per atom
Formation enthalpy at 0 K ... -0.171 eV per atom

abc: 3.498 3.817 5.664
angles: 109.69 90.00 90.00
Sites, in units of the cell vectors:
P: 0.500 0.342 0.683
Mg: 0.000 0.902 0.804
Al: 0.000 0.175 0.349
Al: 0.500 0.572 0.144

10.
Material: NiAsRu2
Method: DFT, meta-GGA SCAN
State: single point on PBEsol structure

Total moment ... 0.0000 μB per atom
Formation enthalpy at 0 K ... 0.503 eV per atom

abc: 2.750 2.750 8.064
angles: 90.00 90.00 117.07
Sites, in units of the cell vectors:
As: 0.500 0.500 0.500
Ni: 0.500 0.500 0.000
Ru: 0.000 0.000 0.254
Ru: 0.000 0.000 0.746

11.
Material: YHBr2
Method: DFT, meta-GGA SCAN
State: single point on PBEsol structure

Total moment ... 0.0001 μB per atom
Raw total energy ... -18.274 eV/atom

abc: 3.736 3.736 7.964
angles: 76.43 76.43 60.00
Sites, in units of the cell vectors:
Y: 0.500 0.500 0.500
H: 0.000 0.000 0.000
Br: 0.084 0.084 0.747
Br: 0.916 0.916 0.253

12.
Material: SrCaMg2
Method: DFT, meta-GGA SCAN
State: single point on PBEsol structure

Total moment ... 0.0021 μB per atom
Formation enthalpy at 0 K ... -0.057 eV per atom

abc: 4.031 4.026 8.056
angles: 90.00 90.00 90.00
Sites, in units of the cell vectors:
Sr: 0.500 0.500 0.000
Ca: 0.500 0.500 0.500
Mg: 0.000 0.000 0.729
Mg: 0.000 0.000 0.271

| no. | ρ (g cm⁻³) |
| --- | --- |
| 1 | 6.39 |
| 2 | 11.53 |
| 3 | 14.59 |
| 4 | 10.33 |
| 5 | 11.34 |
| 6 | 7.35 |
| 7 | 13.44 |
| 8 | 7.74 |
| 9 | 2.55 |
| 10 | 10.27 |
| 11 | 4.47 |
| 12 | 2.24 |